No. 1
A geometry-optimized ZrNiRu2 structure. Source: Alexandria via LeMat-Bulk, functional PBE.

Unit cell a=3.7685 b=2.8799 c=6.2782 alpha=62.67 beta=90.00 gamma=90.00
Atoms (fractional coordinates):
Ni 0.5000 0.7381 0.7616
Ru 0.0000 0.9903 0.0100
Ru 0.5000 0.2822 0.2176
Zr 0.0000 0.4894 0.5108

* space group: Pmm2 (25)
* DOS(E_F): 3.7 states/eV/cell
* electronic total energy: -8.35 eV/atom
* formation enthalpy at 0 K: -0.1309 eV per atom

=====

No. 2
A geometry-optimized Zr2NiRu structure. Source: Alexandria via LeMat-Bulk, functional PBE.

Unit cell a=4.6056 b=4.6056 c=4.6056 alpha=60.00 beta=60.00 gamma=60.00
Atoms (fractional coordinates):
Ru 0.5000 0.5000 0.5000
Zr 0.2500 0.2500 0.2500
Zr 0.7500 0.7500 0.7500
Ni 0.0000 0.0000 0.0000

* space group: Fm-3m (225)
* DOS(E_F): 3.2 states/eV/cell
* electronic total energy: -8.50 eV/atom
* energy relative to the lowest polymorph listed for this composition: 17.0 meV per atom
* formation enthalpy at 0 K: -0.4637 eV per atom

=====

No. 3
A geometry-optimized Zr4NiRu structure. Source: Alexandria via LeMat-Bulk, functional PBE.

Unit cell a=5.5389 b=5.5389 c=5.5389 alpha=60.00 beta=60.00 gamma=60.00
Atoms (fractional coordinates):
Zr 0.8772 0.3743 0.3743
Zr 0.3743 0.3743 0.8772
Zr 0.3743 0.8772 0.3743
Zr 0.3743 0.3743 0.3743
Ni 0.7500 0.7500 0.7500
Ru 0.0000 0.0000 0.0000

* space group: F-43m (216)
* DOS(E_F): 13.3 states/eV/cell
* electronic total energy: -7.56 eV/atom
* energy relative to the lowest polymorph listed for this composition: 979.1 meV per atom
* formation enthalpy at 0 K: 0.6444 eV per atom

=====

No. 4
A geometry-optimized Zr4NiRu structure. Source: Alexandria via LeMat-Bulk, functional PBE.

Unit cell a=5.3616 b=5.3616 c=5.3616 alpha=105.75 beta=105.75 gamma=117.21
Atoms (fractional coordinates):
Zr 0.5808 0.0808 0.1616
Zr 0.9192 0.4192 0.8384
Zr 0.0808 0.9192 0.5000
Zr 0.4192 0.5808 0.5000
Ni 0.5000 0.5000 0.0000
Ru 0.0000 0.0000 0.0000

* space group: I422 (97)
* DOS(E_F): 9.1 states/eV/cell
* electronic total energy: -8.54 eV/atom
* energy relative to the lowest polymorph listed for this composition: 0.0 meV per atom
* formation enthalpy at 0 K: -0.3347 eV per atom

=====

No. 5
A geometry-optimized ZrNi2Ru2 structure. Source: Alexandria via LeMat-Bulk, functional PBE.

Unit cell a=7.1928 b=7.1928 c=2.7922 alpha=90.00 beta=90.00 gamma=90.00
Atoms (fractional coordinates):
Ru 0.3753 0.8753 0.0000
Ru 0.8753 0.6247 0.0000
Ru 0.6247 0.1247 0.0000
Ru 0.1247 0.3753 0.0000
Zr 0.0000 0.0000 0.0000
Zr 0.5000 0.5000 0.0000
Ni 0.1722 0.6722 0.5000
Ni 0.6722 0.8278 0.5000
Ni 0.8278 0.3278 0.5000
Ni 0.3278 0.1722 0.5000

* space group: P4/mbm (127)
* DOS(E_F): 21.2 states/eV/cell
* electronic total energy: -7.71 eV/atom
* energy relative to the lowest polymorph listed for this composition: 28.5 meV per atom
* formation enthalpy at 0 K: 0.0176 eV per atom

=====

No. 6
A geometry-optimized ZrNiRu2 structure. Source: Alexandria via LeMat-Bulk, functional PBE.

Unit cell a=3.8623 b=3.8623 c=9.3137 alpha=78.03 beta=78.03 gamma=90.00
Atoms (fractional coordinates):
Ru 0.5667 0.1250 0.2500
Ru 0.1833 0.6250 0.2500
Ru 0.3750 0.4333 0.7500
Ru 0.8750 0.8167 0.7500
Zr 0.0000 0.0000 0.0000
Zr 0.7500 0.2500 0.5000
Ni 0.5000 0.5000 0.0000
Ni 0.2500 0.7500 0.5000

* space group: I-42d (122)
* DOS(E_F): 8.6 states/eV/cell
* electronic total energy: -8.02 eV/atom
* formation enthalpy at 0 K: 0.1962 eV per atom

=====

No. 7
A geometry-optimized ZrNi4Ru structure. Source: Alexandria via LeMat-Bulk, functional PBE.

Unit cell a=4.7933 b=4.7933 c=4.7933 alpha=60.00 beta=60.00 gamma=60.00
Atoms (fractional coordinates):
Ni 0.1278 0.6241 0.6241
Ni 0.6241 0.6241 0.6241
Ni 0.6241 0.1278 0.6241
Ni 0.6241 0.6241 0.1278
Ru 0.2500 0.2500 0.2500
Zr 0.0000 0.0000 0.0000

* space group: F-43m (216)
* DOS(E_F): 8.8 states/eV/cell
* electronic total energy: -7.06 eV/atom
* formation enthalpy at 0 K: -0.2397 eV per atom

=====

No. 8
A geometry-optimized Zr2NiRu structure. Source: Alexandria via LeMat-Bulk, functional PBE.

Unit cell a=5.4574 b=5.4574 c=5.4574 alpha=143.47 beta=133.36 gamma=60.65
Atoms (fractional coordinates):
Ni 0.5002 0.5002 0.0000
Ru 0.7576 0.2576 0.5000
Zr 0.9902 0.9902 0.0000
Zr 0.2520 0.7520 0.5000

* space group: Imm2 (44)
* DOS(E_F): 3.8 states/eV/cell
* electronic total energy: -8.31 eV/atom
* energy relative to the lowest polymorph listed for this composition: 213.0 meV per atom
* formation enthalpy at 0 K: -0.2677 eV per atom

=====

No. 9
A geometry-optimized ZrNiRu2 structure. Source: Alexandria via LeMat-Bulk, functional PBE.

Unit cell a=5.2381 b=4.7921 c=2.8141 alpha=85.24 beta=76.66 gamma=115.80
Atoms (fractional coordinates):
Ni 0.5000 0.0000 0.5000
Ru 0.0000 0.0000 0.0000
Ru 0.0000 0.5000 0.5000
Zr 0.5000 0.5000 0.0000

* space group: C2/m (12)
* DOS(E_F): 4.3 states/eV/cell
* electronic total energy: -8.22 eV/atom
* formation enthalpy at 0 K: 0.0030 eV per atom

=====

No. 10
A geometry-optimized Zr2NiRu structure. Source: Alexandria via LeMat-Bulk, functional PBE.

Unit cell a=3.2558 b=3.2501 c=7.2614 alpha=63.37 beta=90.00 gamma=90.00
Atoms (fractional coordinates):
Ru 0.5000 0.7500 0.7500
Zr 0.0000 0.9966 0.0036
Zr 0.0000 0.5034 0.4964
Ni 0.5000 0.2500 0.2500

* space group: P4/mmm (123)
* DOS(E_F): 3.7 states/eV/cell
* electronic total energy: -8.52 eV/atom
* energy relative to the lowest polymorph listed for this composition: 0.0 meV per atom
* formation enthalpy at 0 K: -0.4807 eV per atom

=====

No. 11
A geometry-optimized Zr2NiRu structure. Source: Alexandria via LeMat-Bulk, functional PBE.

Unit cell a=3.4321 b=3.4321 c=6.0197 alpha=90.00 beta=90.00 gamma=90.00
Atoms (fractional coordinates):
Ni 0.0000 0.0000 0.4825
Ru 0.5000 0.5000 0.7556
Zr 0.0000 0.0000 0.9556
Zr 0.5000 0.5000 0.3062

* space group: P4mm (99)
* DOS(E_F): 5.1 states/eV/cell
* electronic total energy: -8.23 eV/atom
* energy relative to the lowest polymorph listed for this composition: 288.0 meV per atom
* formation enthalpy at 0 K: -0.1927 eV per atom

=====

No. 12
A geometry-optimized ZrNiRu4 structure. Source: Alexandria via LeMat-Bulk, functional PBE.

Unit cell a=5.1160 b=5.1160 c=5.1160 alpha=60.00 beta=60.00 gamma=60.00
Atoms (fractional coordinates):
Zr 0.7500 0.7500 0.7500
Ni 0.0000 0.0000 0.0000
Ru 0.8777 0.3741 0.3741
Ru 0.3741 0.3741 0.8777
Ru 0.3741 0.8777 0.3741
Ru 0.3741 0.3741 0.3741

* space group: F-43m (216)
* DOS(E_F): 8.6 states/eV/cell
* electronic total energy: -8.43 eV/atom
* formation enthalpy at 0 K: 0.1393 eV per atom